No. 1
Crystalline Ho4TlAsSe2 at its relaxed geometry. Source: the Alexandria database, functional PBE.

The structure belongs to space group P2/m (No. 10); the cell edges are 7.2463, 4.0726 and 7.2821 Å and the angles 90.00°, 108.72° and 90.00°. The asymmetric unit holds Ho at (0.2428, 0.0000, 0.2408), Ho at (0.2555, 0.5000, 0.7613), Tl at (0.0000, 0.0000, 0.5000), As at (0.0000, 0.5000, 0.0000), Se at (0.5000, 0.0000, 0.0000) and Se at (0.5000, 0.5000, 0.5000).

The raw formation energy comes out at -30.0 kcal/mol of atoms. For the density of states at the Fermi level, the calculation gives 3.3 states/eV per cell.

***

No. 2
Crystalline Ho4Tl2AsSe at its relaxed geometry. Source: the Alexandria database, functional PBE.

The structure belongs to space group P2/m (No. 10); the cell edges are 6.8712, 3.9552 and 8.1999 Å and the angles 90.00°, 106.17° and 90.00°. The asymmetric unit holds Ho at (0.2340, 0.0000, 0.2143), Ho at (0.2555, 0.5000, 0.7820), Tl at (0.0000, 0.0000, 0.5000), Tl at (0.5000, 0.5000, 0.5000), As at (0.0000, 0.5000, 0.0000) and Se at (0.5000, 0.0000, 0.0000).

The raw formation energy comes out at -22.5 kcal/mol of atoms. For the density of states at the Fermi level, the calculation gives 3.6 states/eV per cell.

***

no.,energy (eV per cell)
1,-42.712
2,-38.969